[1]
Computed, not measured: a geometry-optimized BeGeTe2Os structure at the GGA-PBEsol level of DFT.

Cell and atoms, written as CIF:
```
data_BeGeTe2Os
_chemical_formula_sum 'Be1 Ge1 Te2 Os1'
_space_group_name_H-M_alt 'P 4/m m m'
_space_group_IT_number 123
_space_group_name_Hall '-P 4 2'
_cell_length_a 5.2605
_cell_length_b 5.2605
_cell_length_c 4.5498
_cell_angle_alpha 90.00
_cell_angle_beta 90.00
_cell_angle_gamma 90.00
loop_
_atom_site_label
_atom_site_type_symbol
_atom_site_fract_x
_atom_site_fract_y
_atom_site_fract_z
_atom_site_occupancy
Be1 Be 0.0000 0.0000 0.0000 1
Ge1 Ge 0.5000 0.5000 0.5000 1
Te1 Te 0.0000 0.5000 0.5000 1
Os1 Os 0.5000 0.5000 0.0000 1
```

The value obtained for the total energy is -3.9783 eV per atom.

[2]
Computed, not measured: a geometry-optimized KSbSCl2 structure at the GGA-PBEsol level of DFT.

Cell and atoms, written as CIF:
```
data_KSbSCl2
_chemical_formula_sum 'K1 Sb1 S1 Cl2'
_space_group_name_H-M_alt 'P 4/m m m'
_space_group_IT_number 123
_space_group_name_Hall '-P 4 2'
_cell_length_a 5.2418
_cell_length_b 5.2418
_cell_length_c 5.4708
_cell_angle_alpha 90.00
_cell_angle_beta 90.00
_cell_angle_gamma 90.00
loop_
_atom_site_label
_atom_site_type_symbol
_atom_site_fract_x
_atom_site_fract_y
_atom_site_fract_z
_atom_site_occupancy
K1 K 0.0000 0.0000 0.0000 1
Sb1 Sb 0.5000 0.5000 0.5000 1
S1 S 0.0000 0.0000 0.5000 1
Cl1 Cl 0.0000 0.5000 0.0000 1
```

The value obtained for the total energy is -2.5406 eV per atom.

[3]
Computed, not measured: a geometry-optimized HfGaIO2 structure at the GGA-PBEsol level of DFT.

Cell and atoms, written as CIF:
```
data_HfGaIO2
_chemical_formula_sum 'Hf1 Ga1 I1 O2'
_space_group_name_H-M_alt 'P 4/m m m'
_space_group_IT_number 123
_space_group_name_Hall '-P 4 2'
_cell_length_a 3.9500
_cell_length_b 3.9500
_cell_length_c 5.2541
_cell_angle_alpha 90.00
_cell_angle_beta 90.00
_cell_angle_gamma 90.00
loop_
_atom_site_label
_atom_site_type_symbol
_atom_site_fract_x
_atom_site_fract_y
_atom_site_fract_z
_atom_site_occupancy
Hf1 Hf 0.0000 0.0000 0.0000 1
Ga1 Ga 0.5000 0.5000 0.5000 1
I1 I 0.5000 0.5000 0.0000 1
O1 O 0.0000 0.5000 0.5000 1
```

The value obtained for the total energy is -5.4300 eV per atom.

[4]
Computed, not measured: a geometry-optimized CoCu3 structure at the GGA-PBEsol level of DFT.

Cell and atoms, written as CIF:
```
data_CoCu3
_chemical_formula_sum 'Co2 Cu6'
_space_group_name_H-M_alt 'I m m m'
_space_group_IT_number 71
_space_group_name_Hall '-I 2 2'
_cell_length_a 2.5584
_cell_length_b 4.1780
_cell_length_c 8.3308
_cell_angle_alpha 90.00
_cell_angle_beta 90.00
_cell_angle_gamma 90.00
loop_
_atom_site_label
_atom_site_type_symbol
_atom_site_fract_x
_atom_site_fract_y
_atom_site_fract_z
_atom_site_occupancy
Co1 Co 0.0000 0.0000 0.0000 1
Cu1 Cu 0.0000 0.0000 0.5000 1
Cu2 Cu 0.0000 0.5000 0.2497 1
```

The value obtained for the total energy is -4.9976 eV per atom. The value obtained for the energy relative to the elements is 0.19 eV/atom.

[5]
Computed, not measured: a geometry-optimized TiCuPCl2 structure at the GGA-PBEsol level of DFT.

Cell and atoms, written as CIF:
```
data_TiCuPCl2
_chemical_formula_sum 'Ti1 Cu1 P1 Cl2'
_space_group_name_H-M_alt 'P 4/m m m'
_space_group_IT_number 123
_space_group_name_Hall '-P 4 2'
_cell_length_a 4.5422
_cell_length_b 4.5422
_cell_length_c 4.9716
_cell_angle_alpha 90.00
_cell_angle_beta 90.00
_cell_angle_gamma 90.00
loop_
_atom_site_label
_atom_site_type_symbol
_atom_site_fract_x
_atom_site_fract_y
_atom_site_fract_z
_atom_site_occupancy
Ti1 Ti 0.0000 0.0000 0.0000 1
Cu1 Cu 0.5000 0.5000 0.5000 1
P1 P 0.0000 0.0000 0.5000 1
Cl1 Cl 0.0000 0.5000 0.0000 1
```

The value obtained for the total energy is -4.6340 eV per atom.

[6]
Computed, not measured: a geometry-optimized MgTaN3 structure at the GGA-PBEsol level of DFT.

Cell and atoms, written as CIF:
```
data_MgTaN3
_chemical_formula_sum 'Mg1 Ta1 N3'
_space_group_name_H-M_alt 'P m -3 m'
_space_group_IT_number 221
_space_group_name_Hall '-P 4 2 3'
_cell_length_a 3.7231
_cell_length_b 3.7231
_cell_length_c 3.7231
_cell_angle_alpha 90.00
_cell_angle_beta 90.00
_cell_angle_gamma 90.00
loop_
_atom_site_label
_atom_site_type_symbol
_atom_site_fract_x
_atom_site_fract_y
_atom_site_fract_z
_atom_site_occupancy
Mg1 Mg 0.0000 0.0000 0.0000 1
Ta1 Ta 0.5000 0.5000 0.5000 1
N1 N 0.0000 0.0000 0.5000 1
```

The value obtained for the total energy is -6.8166 eV per atom.

[7]
Computed, not measured: a geometry-optimized Nb3NiN structure at the GGA-PBEsol level of DFT.

Cell and atoms, written as CIF:
```
data_Nb3NiN
_chemical_formula_sum 'Nb3 Ni1 N1'
_space_group_name_H-M_alt 'P m -3 m'
_space_group_IT_number 221
_space_group_name_Hall '-P 4 2 3'
_cell_length_a 4.5153
_cell_length_b 4.5153
_cell_length_c 4.5153
_cell_angle_alpha 90.00
_cell_angle_beta 90.00
_cell_angle_gamma 90.00
loop_
_atom_site_label
_atom_site_type_symbol
_atom_site_fract_x
_atom_site_fract_y
_atom_site_fract_z
_atom_site_occupancy
Nb1 Nb 0.0000 0.0000 0.5000 1
Ni1 Ni 0.0000 0.0000 0.0000 1
N1 N 0.5000 0.5000 0.5000 1
```

The value obtained for the total energy is -7.6017 eV per atom.

[8]
Computed, not measured: a geometry-optimized LaMgCo2 structure at the GGA-PBEsol level of DFT.

Cell and atoms, written as CIF:
```
data_LaMgCo2
_chemical_formula_sum 'La2 Mg2 Co4'
_space_group_name_H-M_alt 'A m m 2'
_space_group_IT_number 38
_space_group_name_Hall 'A 2 -2'
_cell_length_a 3.8627
_cell_length_b 4.0664
_cell_length_c 9.5552
_cell_angle_alpha 90.00
_cell_angle_beta 90.00
_cell_angle_gamma 90.00
loop_
_atom_site_label
_atom_site_type_symbol
_atom_site_fract_x
_atom_site_fract_y
_atom_site_fract_z
_atom_site_occupancy
La1 La 0.0000 0.0000 0.0000 1
Mg1 Mg 0.5000 0.0000 0.2916 1
Co1 Co 0.0000 0.0000 0.7091 1
Co2 Co 0.5000 0.0000 0.6045 1
```

The value obtained for the total energy is -5.5965 eV per atom. The value obtained for the energy relative to the elements is 0.04 eV/atom.

[9]
Computed, not measured: a geometry-optimized Hg2C structure at the GGA-PBEsol level of DFT.

Cell and atoms, written as CIF:
```
data_Hg2C
_chemical_formula_sum 'Hg2 C1'
_space_group_name_H-M_alt 'P 6/m m m'
_space_group_IT_number 191
_space_group_name_Hall '-P 6 2'
_cell_length_a 4.6793
_cell_length_b 4.6793
_cell_length_c 2.8974
_cell_angle_alpha 90.00
_cell_angle_beta 90.00
_cell_angle_gamma 120.00
loop_
_atom_site_label
_atom_site_type_symbol
_atom_site_fract_x
_atom_site_fract_y
_atom_site_fract_z
_atom_site_occupancy
Hg1 Hg 0.3333 0.6667 0.0000 1
C1 C 0.0000 0.0000 0.5000 1
```

The value obtained for the total energy is -1.5470 eV per atom. The value obtained for the energy relative to the elements is 2.05 eV/atom.

[10]
Computed, not measured: a geometry-optimized Zr2TlCd structure at the GGA-PBEsol level of DFT.

Cell and atoms, written as CIF:
```
data_Zr2TlCd
_chemical_formula_sum 'Zr2 Tl1 Cd1'
_space_group_name_H-M_alt 'P 4/m m m'
_space_group_IT_number 123
_space_group_name_Hall '-P 4 2'
_cell_length_a 3.6848
_cell_length_b 3.6848
_cell_length_c 6.2646
_cell_angle_alpha 90.00
_cell_angle_beta 90.00
_cell_angle_gamma 90.00
loop_
_atom_site_label
_atom_site_type_symbol
_atom_site_fract_x
_atom_site_fract_y
_atom_site_fract_z
_atom_site_occupancy
Zr1 Zr 0.0000 0.0000 0.2476 1
Tl1 Tl 0.5000 0.5000 0.5000 1
Cd1 Cd 0.5000 0.5000 0.0000 1
```

The value obtained for the total energy is -5.6097 eV per atom. The value obtained for the energy relative to the elements is -0.11 eV/atom.

[11]
Computed, not measured: a geometry-optimized RbNaC3 structure at the GGA-PBEsol level of DFT.

Cell and atoms, written as CIF:
```
data_RbNaC3
_chemical_formula_sum 'Rb1 Na1 C3'
_space_group_name_H-M_alt 'P m -3 m'
_space_group_IT_number 221
_space_group_name_Hall '-P 4 2 3'
_cell_length_a 5.0058
_cell_length_b 5.0058
_cell_length_c 5.0058
_cell_angle_alpha 90.00
_cell_angle_beta 90.00
_cell_angle_gamma 90.00
loop_
_atom_site_label
_atom_site_type_symbol
_atom_site_fract_x
_atom_site_fract_y
_atom_site_fract_z
_atom_site_occupancy
Rb1 Rb 0.0000 0.0000 0.0000 1
Na1 Na 0.5000 0.5000 0.5000 1
C1 C 0.0000 0.5000 0.5000 1
```

The value obtained for the total energy is -2.7467 eV per atom. The value obtained for the energy relative to the elements is 3.52 eV/atom.

[12]
Computed, not measured: a geometry-optimized BeCuOs2 structure at the GGA-PBEsol level of DFT.

Cell and atoms, written as CIF:
```
data_BeCuOs2
_chemical_formula_sum 'Be1 Cu1 Os2'
_space_group_name_H-M_alt 'P m m 2'
_space_group_IT_number 25
_space_group_name_Hall 'P 2 -2'
_cell_length_a 2.7031
_cell_length_b 3.6240
_cell_length_c 5.1057
_cell_angle_alpha 90.00
_cell_angle_beta 90.00
_cell_angle_gamma 90.00
loop_
_atom_site_label
_atom_site_type_symbol
_atom_site_fract_x
_atom_site_fract_y
_atom_site_fract_z
_atom_site_occupancy
Be1 Be 0.0000 0.0000 0.0000 1
Cu1 Cu 0.5000 0.5000 0.2015 1
Os1 Os 0.0000 0.0000 0.4892 1
Os2 Os 0.5000 0.5000 0.7155 1
```

The value obtained for the total energy is -8.0093 eV per atom. The value obtained for the energy relative to the elements is 0.18 eV/atom.

[13]
Computed, not measured: a geometry-optimized CrRu3 structure at the GGA-PBEsol level of DFT.

Cell and atoms, written as CIF:
```
data_CrRu3
_chemical_formula_sum 'Cr2 Ru6'
_space_group_name_H-M_alt 'I m m 2'
_space_group_IT_number 44
_space_group_name_Hall 'I 2 -2'
_cell_length_a 2.6626
_cell_length_b 8.3810
_cell_length_c 4.5949
_cell_angle_alpha 90.00
_cell_angle_beta 90.00
_cell_angle_gamma 90.00
loop_
_atom_site_label
_atom_site_type_symbol
_atom_site_fract_x
_atom_site_fract_y
_atom_site_fract_z
_atom_site_occupancy
Cr1 Cr 0.0000 0.0000 0.0000 1
Ru1 Ru 0.0000 0.2535 0.6699 1
Ru2 Ru 0.0000 0.5000 0.0078 1
```

The value obtained for the total energy is -10.1735 eV per atom. The value obtained for the energy relative to the elements is 0.02 eV/atom.

[14]
Computed, not measured: a geometry-optimized LuPaO4 structure at the GGA-PBEsol level of DFT.

Cell and atoms, written as CIF:
```
data_LuPaO4
_chemical_formula_sum 'Lu1 Pa1 O4'
_space_group_name_H-M_alt 'P 4/m m m'
_space_group_IT_number 123
_space_group_name_Hall '-P 4 2'
_cell_length_a 3.7343
_cell_length_b 3.7343
_cell_length_c 5.2396
_cell_angle_alpha 90.00
_cell_angle_beta 90.00
_cell_angle_gamma 90.00
loop_
_atom_site_label
_atom_site_type_symbol
_atom_site_fract_x
_atom_site_fract_y
_atom_site_fract_z
_atom_site_occupancy
Lu1 Lu 0.0000 0.0000 0.0000 1
Pa1 Pa 0.5000 0.5000 0.5000 1
O1 O 0.0000 0.5000 0.2535 1
```

The value obtained for the total energy is -9.8300 eV per atom.